Fe2PO5 | PBE+U | relaxed

Results
- Total DFT energy (no corrections): -7.04 eV per atom

Cell: 7.6857 7.6877 7.3538 Å, 90.00 121.19 90.00°
Space group C2/c (No. 15)
Inequivalent atoms, fractional coordinates:
Fe1 0.0000 0.0000 0.0000 (multiplicity 4)
Fe2 0.2500 0.2500 0.0000 (multiplicity 4)
P1 0.0000 0.3729 0.2500 (multiplicity 4)
O1 0.0000 0.1095 0.7500 (multiplicity 4)
O2 0.0365 0.2547 0.1024 (multiplicity 8)
O3 0.1879 0.4925 0.3727 (multiplicity 8)